Compound: LiCr6O4F4
Source: Alexandria
Functional: GGA+U
Structure: optimized geometry

**Calculated total energy**: -6.775 eV/atom
**DOS at the Fermi energy**: 0.081 states/eV/atom

abc: 5.721 5.742 6.492
angles: 87.49 89.27 73.97
Element x y z (fractional)
1 Li 0.000 0.000 0.000
2 Cr 0.088 0.042 0.395
3 Cr 0.312 0.537 0.495
4 Cr 0.356 0.537 0.996
5 Cr 0.546 0.031 0.842
6 Cr 0.819 0.520 0.749
7 Cr 0.853 0.554 0.242
8 O 0.036 0.376 0.503
9 O 0.127 0.732 0.231
10 O 0.527 0.375 0.736
11 O 0.632 0.696 0.996
12 F 0.033 0.776 0.769
13 F 0.139 0.285 0.995
14 F 0.429 0.854 0.509
15 F 0.774 0.207 0.231